Density functional theory data (PBE) for Ho6Rh2S after structural relaxation.

a = 6.4296 Å, b = 7.1835 Å, c = 9.8352 Å
α = 90.00°, β = 88.51°, γ = 90.00°
Positions (direct):
Rh: 0.0515 0.6119 0.7553
Rh: 0.5515 0.8881 0.2553
Rh: 0.4485 0.1119 0.7447
Rh: 0.9485 0.3881 0.2447
Ho: 0.3201 0.8319 0.9300
Ho: 0.6498 0.4530 0.7450
Ho: 0.1498 0.0470 0.2450
Ho: 0.8502 0.9530 0.7550
Ho: 0.6799 0.1681 0.0700
Ho: 0.1595 0.3183 0.9273
Ho: 0.3405 0.8183 0.5727
Ho: 0.1799 0.3319 0.5700
Ho: 0.3502 0.5470 0.2550
Ho: 0.6595 0.1817 0.4273
Ho: 0.8405 0.6817 0.0727
Ho: 0.8201 0.6681 0.4300
S: 0.0000 0.0000 0.5000
S: 0.5000 0.5000 0.0000

Values from the calculation:
Total magnetization in μB per formula unit: 0.00
Formation energy without anion corrections in meV per atom: -850